Record 1
Material: YThFe
Method: DFT, PBE
State: relaxed

a b c (Å): 7.288 6.910 7.058
angles (deg): 90.00 118.95 90.00
Sites, in units of the cell vectors:
Y1 0.095 0.134 0.348
Y2 0.095 0.366 0.848
Y3 0.905 0.634 0.152
Y4 0.905 0.866 0.652
Th1 0.420 0.743 0.692
Th2 0.420 0.757 0.192
Th3 0.580 0.243 0.808
Th4 0.580 0.257 0.308
Fe1 0.316 0.034 0.828
Fe2 0.316 0.466 0.328
Fe3 0.684 0.534 0.672
Fe4 0.684 0.966 0.172

Values from the calculation:
- Total magnetization: 0.00 μB per formula unit
- Formation energy from the elements: -36 meV per atom
- Electronic total energy: -7.49 eV per atom
- Density of states at the Fermi level: 8.63 states/eV/cell

---

Record 2
Material: YThFe
Method: DFT, PBE
State: relaxed

a b c (Å): 3.596 6.449 7.013
angles (deg): 72.64 75.22 74.01
Sites, in units of the cell vectors:
Y1 0.167 0.239 0.429
Y2 0.833 0.761 0.571
Th1 0.408 0.285 0.897
Th2 0.592 0.715 0.103
Fe1 0.125 0.918 0.835
Fe2 0.875 0.082 0.165

Values from the calculation:
- Total magnetization: 0.00 μB per formula unit
- Formation energy from the elements: -8 meV per atom
- Electronic total energy: -7.46 eV per atom
- Density of states at the Fermi level: 8.08 states/eV/cell

---

Record 3
Material: YTh4Fe4
Method: DFT, PBE
State: relaxed

a b c (Å): 8.551 8.551 5.493
angles (deg): 90.00 90.00 90.00
Sites, in units of the cell vectors:
Y1 0.250 0.250 0.250
Y2 0.750 0.750 0.750
Th1 0.054 0.665 0.185
Th2 0.165 0.946 0.685
Th3 0.335 0.554 0.685
Th4 0.446 0.835 0.185
Th5 0.554 0.165 0.815
Th6 0.665 0.446 0.315
Th7 0.835 0.054 0.315
Th8 0.946 0.335 0.815
Fe1 0.039 0.612 0.662
Fe2 0.112 0.961 0.162
Fe3 0.388 0.539 0.162
Fe4 0.461 0.888 0.662
Fe5 0.539 0.112 0.338
Fe6 0.612 0.461 0.838
Fe7 0.888 0.039 0.838
Fe8 0.961 0.388 0.338

Values from the calculation:
- Total magnetization: 0.00 μB per formula unit
- Formation energy from the elements: 19 meV per atom
- Electronic total energy: -7.76 eV per atom
- Density of states at the Fermi level: 15.38 states/eV/cell

---

Record 4
Material: ThZn2Fe9
Method: DFT, PBE
State: relaxed

a b c (Å): 8.237 8.237 4.847
angles (deg): 90.00 90.00 90.00
Sites, in units of the cell vectors:
Th1 0.000 0.000 0.000
Th2 0.500 0.500 0.000
Zn1 0.116 0.384 0.000
Zn2 0.384 0.884 0.000
Zn3 0.616 0.116 0.000
Zn4 0.884 0.616 0.000
Fe1 0.000 0.500 0.500
Fe2 0.066 0.216 0.500
Fe3 0.179 0.679 0.243
Fe4 0.179 0.679 0.757
Fe5 0.216 0.934 0.500
Fe6 0.284 0.434 0.500
Fe7 0.321 0.179 0.243
Fe8 0.321 0.179 0.757
Fe9 0.434 0.716 0.500
Fe10 0.500 0.000 0.500
Fe11 0.566 0.284 0.500
Fe12 0.679 0.821 0.243
Fe13 0.679 0.821 0.757
Fe14 0.716 0.566 0.500
Fe15 0.784 0.066 0.500
Fe16 0.821 0.321 0.243
Fe17 0.821 0.321 0.757
Fe18 0.934 0.784 0.500

Values from the calculation:
- Total magnetization: 18.60 μB per formula unit
- Formation energy from the elements: 16 meV per atom
- Electronic total energy: -7.16 eV per atom
- Density of states at the Fermi level: 31.50 states/eV/cell

---

Record 5
Material: ThZnFe
Method: DFT, PBE
State: relaxed

a b c (Å): 10.990 4.460 4.836
angles (deg): 90.00 103.07 90.00
Sites, in units of the cell vectors:
Th1 0.128 0.000 0.314
Th2 0.372 0.500 0.686
Th3 0.628 0.500 0.314
Th4 0.872 0.000 0.686
Zn1 0.087 0.500 0.790
Zn2 0.413 0.000 0.210
Zn3 0.587 0.000 0.790
Zn4 0.913 0.500 0.210
Fe1 0.196 0.000 0.867
Fe2 0.304 0.500 0.133
Fe3 0.696 0.500 0.867
Fe4 0.804 0.000 0.133

Values from the calculation:
- Total magnetization: 0.24 μB per formula unit
- Formation energy from the elements: -174 meV per atom
- Electronic total energy: -5.89 eV per atom
- Density of states at the Fermi level: 11.48 states/eV/cell

---

Record 6
Material: Th6ZnFe2
Method: DFT, PBE
State: relaxed

a b c (Å): 8.451 8.451 8.451
angles (deg): 114.51 109.88 104.18
Sites, in units of the cell vectors:
Th1 0.034 0.234 0.800
Th2 0.177 0.294 0.471
Th3 0.177 0.706 0.882
Th4 0.331 0.025 0.694
Th5 0.331 0.638 0.306
Th6 0.434 0.234 0.200
Th7 0.566 0.766 0.800
Th8 0.669 0.362 0.694
Th9 0.669 0.975 0.306
Th10 0.823 0.294 0.118
Th11 0.823 0.706 0.529
Th12 0.966 0.766 0.200
Zn1 0.000 0.000 0.000
Zn2 0.500 0.500 0.000
Fe1 0.134 0.634 0.500
Fe2 0.343 0.000 0.343
Fe3 0.657 0.000 0.657
Fe4 0.866 0.366 0.500

Values from the calculation:
- Total magnetization: 0.00 μB per formula unit
- Formation energy from the elements: -51 meV per atom
- Electronic total energy: -7.02 eV per atom
- Density of states at the Fermi level: 22.91 states/eV/cell

---

Record 7
Material: Th2ZnFe
Method: DFT, PBE
State: relaxed

a b c (Å): 6.544 5.159 11.066
angles (deg): 90.00 90.00 90.00
Sites, in units of the cell vectors:
Th1 0.003 0.250 0.249
Th2 0.247 0.250 0.548
Th3 0.253 0.750 0.048
Th4 0.497 0.750 0.749
Th5 0.503 0.250 0.251
Th6 0.747 0.250 0.952
Th7 0.753 0.750 0.452
Th8 0.997 0.750 0.751
Zn1 0.247 0.250 0.851
Zn2 0.253 0.750 0.351
Zn3 0.747 0.250 0.649
Zn4 0.753 0.750 0.149
Fe1 0.247 0.750 0.577
Fe2 0.253 0.250 0.077
Fe3 0.747 0.750 0.923
Fe4 0.753 0.250 0.423

Values from the calculation:
- Total magnetization: 0.00 μB per formula unit
- Formation energy from the elements: -132 meV per atom
- Electronic total energy: -6.28 eV per atom
- Density of states at the Fermi level: 10.35 states/eV/cell

---

Record 8
Material: Th4ZnFe
Method: DFT, PBE
State: relaxed

a b c (Å): 7.232 7.232 5.886
angles (deg): 90.00 90.00 90.00
Sites, in units of the cell vectors:
Th1 0.147 0.320 0.000
Th2 0.147 0.680 0.500
Th3 0.320 0.147 0.500
Th4 0.320 0.853 0.000
Th5 0.680 0.147 0.000
Th6 0.680 0.853 0.500
Th7 0.853 0.320 0.500
Th8 0.853 0.680 0.000
Zn1 0.500 0.500 0.250
Zn2 0.500 0.500 0.750
Fe1 0.000 0.000 0.250
Fe2 0.000 0.000 0.750

Values from the calculation:
- Total magnetization: 0.00 μB per formula unit
- Formation energy from the elements: -95 meV per atom
- Electronic total energy: -6.66 eV per atom
- Density of states at the Fermi level: 15.50 states/eV/cell

---

- The highest electronic total energy belongs to which entry?
  ThZnFe

---

- Which formula does entry 3 have?
  YTh4Fe4

---

- Which of these has the lowest formation energy from the elements?
  ThZnFe

---

- What is the electronic total energy in the eighth record?
  -6.66 eV per atom